DFT (GGA+U) results for VTcNF2 after structural relaxation.

VASP energy = -6.423 eV/atom
Excess energy over the best structure of this formula in the dataset = 0 meV per atom
Volume = 64.37 Å³/f.u.

Cell: 4.009 4.009 4.005 Å, 90.00 90.00 90.00°
Space group P4/mmm (No. 123)
Inequivalent atoms, fractional coordinates:
V 0.000 0.000 0.000
Tc 0.500 0.500 0.500
N 0.000 0.000 0.500
F 0.000 0.500 0.000